#P
The following is a PBE calculation of a geometry-optimized Rb3Sb2Se4 structure, from Alexandria.

Space-group type ... No. 15
Spin magnetization ... 0.00 μB/f.u.

Cell lengths 7.3289, 9.8951, 9.8951 Å; angles 81.95, 86.29, 86.29 degrees
Sites, in units of the cell vectors:
Rb (0.7500, 0.3793, 0.6207)
Rb (0.3984, 0.2511, 0.9962)
Rb (0.6016, 0.7489, 0.0038)
Rb (0.8984, 0.9962, 0.2511)
Rb (0.1016, 0.0038, 0.7489)
Rb (0.2500, 0.6207, 0.3793)
Se (0.1131, 0.7690, 0.0379)
Se (0.3869, 0.9621, 0.2310)
Se (0.0866, 0.2671, 0.3763)
Se (0.5866, 0.3763, 0.2671)
Se (0.6131, 0.0379, 0.7690)
Se (0.8869, 0.2310, 0.9621)
Se (0.4134, 0.6237, 0.7329)
Se (0.9134, 0.7329, 0.6237)
Sb (0.0968, 0.5969, 0.8704)
Sb (0.5968, 0.8703, 0.5969)
Sb (0.4032, 0.1297, 0.4031)
Sb (0.9032, 0.4031, 0.1296)

#Q
The following is a PBE calculation of a geometry-optimized Rb3Sb2Se4 structure, from Alexandria.

Space-group type ... No. 15
Spin magnetization ... 0.00 μB/f.u.

Cell lengths 9.5721, 9.4849, 9.5836 Å; angles 119.66, 93.13, 90.00 degrees
Sites, in units of the cell vectors:
Se (0.5215, 0.2862, 0.1213)
Se (0.9785, 0.1649, 0.8787)
Se (0.4785, 0.7138, 0.8787)
Se (0.6468, 0.2557, 0.5940)
Se (0.3532, 0.7443, 0.4060)
Se (0.1468, 0.3383, 0.5940)
Se (0.0215, 0.8351, 0.1213)
Se (0.8532, 0.6617, 0.4060)
Rb (0.7500, 0.5330, 0.0000)
Rb (0.3773, 0.0230, 0.2601)
Rb (0.1227, 0.7630, 0.7399)
Rb (0.6227, 0.9770, 0.7399)
Rb (0.2500, 0.4670, 0.0000)
Rb (0.8773, 0.2370, 0.2601)
Sb (0.9475, 0.1637, 0.6130)
Sb (0.0525, 0.8363, 0.3870)
Sb (0.5525, 0.5507, 0.3870)
Sb (0.4475, 0.4493, 0.6130)

Which structure is the most stable? The one labeled #Q.

#P
The following is a PBE calculation of a geometry-optimized RbSb2Se2 structure, from Alexandria.

Space-group type ... No. 139
Spin magnetization ... 0.00 μB/f.u.

Cell lengths 5.7258, 5.7258, 6.3880 Å; angles 63.37, 63.37, 90.00 degrees
Sites, in units of the cell vectors:
Rb (0.0000, 0.0000, 0.0000)
Se (0.2500, 0.7500, 0.5000)
Se (0.7500, 0.2500, 0.5000)
Sb (0.3465, 0.3465, 0.3071)
Sb (0.6535, 0.6535, 0.6929)

#Q
The following is a PBE calculation of a geometry-optimized RbSb2Se2 structure, from Alexandria.

Space-group type ... No. 127
Spin magnetization ... 0.00 μB/f.u.

Cell lengths 9.4312, 9.4312, 3.8647 Å; angles 90.00, 90.00, 90.00 degrees
Sites, in units of the cell vectors:
Sb (0.8159, 0.3159, 0.5000)
Sb (0.6841, 0.8159, 0.5000)
Sb (0.1841, 0.6841, 0.5000)
Sb (0.3159, 0.1841, 0.5000)
Se (0.1788, 0.3212, 0.0000)
Se (0.8212, 0.6788, 0.0000)
Se (0.3212, 0.8212, 0.0000)
Se (0.6788, 0.1788, 0.0000)
Rb (0.5000, 0.5000, 0.0000)
Rb (0.0000, 0.0000, 0.0000)

Which structure is the most stable? The one labeled #P.

#P
The following is a PBE calculation of a geometry-optimized RbSb2Se3 structure, from Alexandria.

Space-group type ... No. 63
Spin magnetization ... 0.00 μB/f.u.

Cell lengths 6.9941, 7.9939, 7.9939 Å; angles 86.40, 90.00, 90.00 degrees
Sites, in units of the cell vectors:
Sb (0.5000, 0.8148, 0.8148)
Sb (0.5000, 0.1852, 0.1852)
Sb (0.0000, 0.8148, 0.8148)
Sb (0.0000, 0.1852, 0.1852)
Se (0.2500, 0.9189, 0.0811)
Se (0.2500, 0.4485, 0.1695)
Se (0.7500, 0.5515, 0.8305)
Se (0.2500, 0.8305, 0.5515)
Se (0.7500, 0.0811, 0.9189)
Se (0.7500, 0.1695, 0.4485)
Rb (0.2500, 0.3290, 0.6710)
Rb (0.7500, 0.6710, 0.3290)

#Q
The following is a PBE calculation of a geometry-optimized RbSb2Se3 structure, from Alexandria.

Space-group type ... No. 15
Spin magnetization ... 0.00 μB/f.u.

Cell lengths 8.3537, 6.6035, 12.8602 Å; angles 104.88, 144.23, 90.00 degrees
Sites, in units of the cell vectors:
Rb (0.2500, 0.9804, 0.0000)
Rb (0.7500, 0.0196, 0.0000)
Se (0.2500, 0.4803, 0.0000)
Se (0.4991, 0.1500, 0.3961)
Se (0.9991, 0.2461, 0.3961)
Se (0.5009, 0.8500, 0.6039)
Se (0.0009, 0.7539, 0.6039)
Se (0.7500, 0.5197, 0.0000)
Sb (0.1060, 0.3507, 0.6746)
Sb (0.3940, 0.6762, 0.3254)
Sb (0.8940, 0.6493, 0.3254)
Sb (0.6060, 0.3238, 0.6746)

Which structure is the most stable? The one labeled #Q.

#P
The following is a PBE calculation of a geometry-optimized RbSbTe2Se structure, from Alexandria.

Space-group type ... No. 123
Spin magnetization ... 1.31 μB/f.u.

Cell lengths 5.7127, 5.7127, 5.5872 Å; angles 90.00, 90.00, 90.00 degrees
Sites, in units of the cell vectors:
Rb (0.5000, 0.5000, 0.5000)
Se (0.0000, 0.0000, 0.0000)
Sb (0.0000, 0.0000, 0.5000)
Te (0.0000, 0.5000, 0.0000)
Te (0.5000, 0.0000, 0.0000)

#Q
The following is a PBE calculation of a geometry-optimized RbSbTe2Se structure, from Alexandria.

Space-group type ... No. 123
Spin magnetization ... 4.22 μB/f.u.

Cell lengths 6.4522, 6.4522, 6.3731 Å; angles 90.00, 90.00, 90.00 degrees
Sites, in units of the cell vectors:
Sb (0.0000, 0.0000, 0.5000)
Rb (0.0000, 0.0000, 0.0000)
Se (0.5000, 0.5000, 0.5000)
Te (0.5000, 0.0000, 0.0000)
Te (0.0000, 0.5000, 0.0000)

Which structure is the most stable? The one labeled #P.

#P
The following is a PBE calculation of a geometry-optimized RbSi2Sb2 structure, from Alexandria.

Space-group type ... No. 139
Spin magnetization ... 0.00 μB/f.u.

Cell lengths 5.3503, 5.3503, 6.0596 Å; angles 63.80, 63.80, 90.00 degrees
Sites, in units of the cell vectors:
Si (0.3647, 0.3647, 0.2705)
Si (0.6353, 0.6353, 0.7295)
Rb (0.0000, 0.0000, 0.0000)
Sb (0.2500, 0.7500, 0.5000)
Sb (0.7500, 0.2500, 0.5000)

#Q
The following is a PBE calculation of a geometry-optimized RbSi2Sb2 structure, from Alexandria.

Space-group type ... No. 127
Spin magnetization ... 0.00 μB/f.u.

Cell lengths 8.6341, 8.6341, 3.7126 Å; angles 90.00, 90.00, 90.00 degrees
Sites, in units of the cell vectors:
Si (0.6044, 0.1044, 0.0000)
Si (0.1044, 0.3956, 0.0000)
Si (0.3956, 0.8956, 0.0000)
Si (0.8956, 0.6044, 0.0000)
Sb (0.8494, 0.3494, 0.5000)
Sb (0.1506, 0.6506, 0.5000)
Sb (0.6506, 0.8494, 0.5000)
Sb (0.3494, 0.1506, 0.5000)
Rb (0.0000, 0.0000, 0.0000)
Rb (0.5000, 0.5000, 0.0000)

Which structure is the most stable? The one labeled #P.

#P
The following is a PBE calculation of a geometry-optimized RbSiSbTe2 structure, from Alexandria.

Space-group type ... No. 123
Spin magnetization ... 0.00 μB/f.u.

Cell lengths 5.5842, 5.5842, 5.3122 Å; angles 90.00, 90.00, 90.00 degrees
Sites, in units of the cell vectors:
Rb (0.5000, 0.5000, 0.5000)
Te (0.5000, 0.0000, 0.0000)
Te (0.0000, 0.5000, 0.0000)
Si (0.0000, 0.0000, 0.0000)
Sb (0.0000, 0.0000, 0.5000)

#Q
The following is a PBE calculation of a geometry-optimized RbSiSbTe2 structure, from Alexandria.

Space-group type ... No. 123
Spin magnetization ... 0.19 μB/f.u.

Cell lengths 6.1771, 6.1771, 5.9703 Å; angles 90.00, 90.00, 90.00 degrees
Sites, in units of the cell vectors:
Sb (0.0000, 0.0000, 0.5000)
Te (0.5000, 0.0000, 0.0000)
Te (0.0000, 0.5000, 0.0000)
Si (0.5000, 0.5000, 0.5000)
Rb (0.0000, 0.0000, 0.0000)

Which structure is the most stable? The one labeled #P.